i | The following is a GGA-PBE calculation of an optimized crystal structure of PrSmTh, from Alexandria.

Lattice parameters (Å, degrees): 3.6430 3.6430 8.1390 102.93 102.93 90.00
Last column: nearest neighbours and their distance in Å.
Atoms (fractional coordinates):
Pr (0.9917, 0.9917, 0.9835)  4 Th 3.57, 4 Pr 3.64, 4 Sm 3.84
Th (0.3320, 0.3320, 0.6639)  4 Sm 3.52, 4 Pr 3.57, 4 Th 3.64
Sm (0.6763, 0.6763, 0.3526)  4 Th 3.52, 4 Sm 3.64, 4 Pr 3.84

- Crystal system: tetragonal
- Space-group type: I4mm
- Total magnetization: 0.00 μB/cell

ii | The following is a GGA-PBE calculation of an optimized crystal structure of PrSmTh, from Alexandria.

Lattice parameters (Å, degrees): 3.6358 3.6346 15.4915 89.99 90.00 90.00
Last column: nearest neighbours and their distance in Å.
Atoms (fractional coordinates):
Pr (0.3173, 0.3173, 0.1657)  8 Pr 3.63-3.70, 4 Sm 3.74
Pr (0.8175, 0.8175, 0.3373)  8 Pr 3.63-3.70, 4 Sm 3.73-3.74
Sm (0.3182, 0.3182, 0.5122)  4 Th 3.59, 4 Sm 3.63-3.64, 4 Pr 3.73-3.74
Sm (0.8177, 0.8177, 0.9905)  4 Th 3.59, 4 Sm 3.63-3.64, 4 Pr 3.74
Th (0.8184, 0.8184, 0.6738)  8 Th 3.52-3.64, 4 Sm 3.59
Th (0.3182, 0.3182, 0.8288)  8 Th 3.52-3.64, 4 Sm 3.59

- Crystal system: orthorhombic
- Space-group type: Aem2
- Total magnetization: 0.00 μB/cell

Which of them is most stable? Easy: ii.

i | The following is a GGA-PBE calculation of an optimized crystal structure of PrSm4Th2, from Alexandria.

Lattice parameters (Å, degrees): 5.7626 5.7626 9.2065 108.24 108.24 90.00
Last column: nearest neighbours and their distance in Å.
Atoms (fractional coordinates):
Pr (0.0000, 0.0000, 0.0000)  6 Sm 2.88-3.05
Sm (0.8150, 0.8150, 0.6300)  1 Pr 3.05, 1 Th 3.40
Sm (0.1850, 0.1850, 0.3700)  1 Pr 3.05, 1 Th 3.40
Sm (0.0000, 0.5000, 0.0000)  2 Pr 2.88
Sm (0.5000, 0.0000, 0.0000)  2 Pr 2.88
Th (0.6090, 0.6090, 0.2180)  5 Sm 3.40, 1 Th 3.60
Th (0.3910, 0.3910, 0.7820)  5 Sm 3.40, 1 Th 3.60

- Crystal system: tetragonal
- Space-group type: I4/mmm
- Total magnetization: 0.01 μB/cell

ii | The following is a GGA-PBE calculation of an optimized crystal structure of PrSm4Th2, from Alexandria.

Lattice parameters (Å, degrees): 6.3016 9.5740 6.2532 139.65 80.58 89.76
Last column: nearest neighbours and their distance in Å.
Atoms (fractional coordinates):
Pr (0.0656, 0.9342, 0.0164)  4 Th 3.54-3.65, 8 Sm 3.54-3.75
Sm (0.3613, 0.3542, 0.2843)  6 Sm 3.54-3.67, 4 Th 3.57-3.73, 2 Pr 3.64-3.69
Sm (0.6443, 0.7854, 0.5695)  4 Th 3.57-3.62, 6 Sm 3.60-3.68, 2 Pr 3.64-3.70
Sm (0.9254, 0.2181, 0.8591)  2 Pr 3.54-3.67, 4 Th 3.59-3.70, 6 Sm 3.60-3.71
Sm (0.2205, 0.6356, 0.1254)  4 Th 3.52-3.66, 6 Sm 3.54-3.71, 2 Pr 3.57-3.75
Th (0.7750, 0.5037, 0.7233)  8 Sm 3.52-3.73, 2 Th 3.56-3.59, 2 Pr 3.63-3.65
Th (0.5080, 0.0687, 0.4220)  2 Pr 3.54-3.64, 2 Th 3.56-3.59, 8 Sm 3.59-3.70

- Crystal system: triclinic
- Space-group type: P1
- Total magnetization: 0.00 μB/cell

Which of them is most stable? Easy: ii.

i | The following is a GGA-PBE calculation of an optimized crystal structure of Pr2Sm8Th, from Alexandria.

Lattice parameters (Å, degrees): 5.1456 8.1468 9.6277 104.59 105.50 90.00
Last column: nearest neighbours and their distance in Å.
Atoms (fractional coordinates):
Pr (0.2279, 0.6369, 0.4559)  2 Pr 3.64, 10 Sm 3.64-3.71
Pr (0.7721, 0.3631, 0.5441)  2 Pr 3.64, 10 Sm 3.64-3.71
Sm (0.5895, 0.4497, 0.1790)  1 Th 3.61, 8 Sm 3.61-3.70, 3 Pr 3.64-3.67
Sm (0.3208, 0.0923, 0.6416)  1 Th 3.60, 8 Sm 3.62-3.71, 3 Pr 3.65-3.66
Sm (0.1335, 0.1759, 0.2671)  7 Sm 3.55-3.71, 2 Th 3.60, 3 Pr 3.67-3.71
Sm (0.0439, 0.7336, 0.0878)  9 Sm 3.55-3.73, 2 Th 3.59, 1 Pr 3.70
Sm (0.8665, 0.8241, 0.7329)  7 Sm 3.55-3.71, 2 Th 3.60, 3 Pr 3.67-3.71
Sm (0.6792, 0.9077, 0.3584)  1 Th 3.60, 8 Sm 3.62-3.71, 3 Pr 3.65-3.66
Sm (0.4105, 0.5503, 0.8210)  1 Th 3.61, 8 Sm 3.61-3.70, 3 Pr 3.64-3.67
Sm (0.9561, 0.2664, 0.9122)  9 Sm 3.55-3.73, 2 Th 3.59, 1 Pr 3.70
Th (0.5000, 0.0000, 0.0000)  12 Sm 3.59-3.61

- Crystal system: monoclinic
- Space-group type: C2/m
- Total magnetization: 0.00 μB/cell

ii | The following is a GGA-PBE calculation of an optimized crystal structure of Pr2Sm8Th, from Alexandria.

Lattice parameters (Å, degrees): 5.7548 10.3483 10.3483 39.12 94.32 94.32
Last column: nearest neighbours and their distance in Å.
Atoms (fractional coordinates):
Pr (0.7458, 0.2809, 0.2809)  7 Sm 3.32-3.54
Pr (0.2542, 0.7191, 0.7191)  7 Sm 3.32-3.54
Sm (0.2779, 0.1348, 0.6143)  5 Sm 3.32-3.64, 1 Pr 3.52, 1 Th 3.52
Sm (0.2779, 0.6143, 0.1348)  5 Sm 3.32-3.64, 1 Pr 3.52, 1 Th 3.52
Sm (0.7221, 0.8652, 0.3857)  5 Sm 3.32-3.64, 1 Pr 3.52, 1 Th 3.52
Sm (0.2264, 0.5485, 0.5485)  1 Sm 3.09, 1 Pr 3.32
Sm (0.7221, 0.3857, 0.8652)  5 Sm 3.32-3.64, 1 Pr 3.52, 1 Th 3.52
Sm (0.2218, 0.1812, 0.1812)  4 Pr 3.45-3.54, 4 Sm 3.49-3.64, 1 Th 3.66
Sm (0.7782, 0.8188, 0.8188)  4 Pr 3.45-3.54, 4 Sm 3.49-3.64, 1 Th 3.66
Sm (0.7736, 0.4515, 0.4515)  1 Sm 3.09, 1 Pr 3.32
Th (0.0000, 0.0000, 0.0000)  10 Sm 3.52-3.79

- Crystal system: monoclinic
- Space-group type: C2/m
- Total magnetization: 0.00 μB/cell

Which of them is most stable? Easy: i.